Ba3Fe2SnO9 | PBE with a Hubbard U | relaxed

## Properties
The value obtained for the density of states at the Fermi level is 9.43 states/eV/cell. As for the symmetry: P-3m1. The raw total energy is -6.31 eV/atom.

a b c (Å): 5.7903 5.7903 7.0970
angles (deg): 90.00 90.00 120.00
With the nearest neighbours (Å) after each atom.
Element x y z (fractional)
Ba: 0.0000 0.0000 0.0000  12 O 2.89-2.90
Ba: 0.3333 0.6667 0.6711  12 O 2.87-2.93
Ba: 0.6667 0.3333 0.3289  12 O 2.87-2.93
Fe: 0.3333 0.6667 0.1643  6 O 2.01-2.04
Fe: 0.6667 0.3333 0.8357  6 O 2.01-2.04
Sn: 0.0000 0.0000 0.5000  6 O 2.09
O: 0.0000 0.5000 0.0000  2 Fe 2.04
O: 0.1697 0.3395 0.3287  1 Fe 2.01, 1 Sn 2.09
O: 0.1697 0.8303 0.3287  1 Fe 2.01, 1 Sn 2.09
O: 0.3395 0.1697 0.6713  1 Fe 2.01, 1 Sn 2.09
O: 0.5000 0.0000 0.0000  2 Fe 2.04
O: 0.5000 0.5000 0.0000  2 Fe 2.04
O: 0.6605 0.8303 0.3287  1 Fe 2.01, 1 Sn 2.09
O: 0.8303 0.1697 0.6713  1 Fe 2.01, 1 Sn 2.09
O: 0.8303 0.6605 0.6713  1 Fe 2.01, 1 Sn 2.09

=====

Ba3SrFe2O6 | PBE with a Hubbard U | relaxed

## Properties
As for the symmetry: P-3m1. The raw total energy is -6.09 eV/atom.

a b c (Å): 6.3790 6.3790 7.1414
angles (deg): 90.00 90.00 120.00
With the nearest neighbours (Å) after each atom.
Element x y z (fractional)
Ba: 0.0000 0.0000 0.0000  6 O 2.70
Ba: 0.3333 0.6667 0.6868  9 O 3.20-3.46, 1 Fe 3.25
Ba: 0.6667 0.3333 0.3132  9 O 3.20-3.46, 1 Fe 3.25
Sr: 0.0000 0.0000 0.5000  6 O 2.45
Fe: 0.3333 0.6667 0.2320  3 O 1.86
Fe: 0.6667 0.3333 0.7680  3 O 1.86
O: 0.1672 0.3343 0.2754  1 Fe 1.86
O: 0.1672 0.8328 0.2754  1 Fe 1.86
O: 0.3343 0.1672 0.7246  1 Fe 1.86
O: 0.6657 0.8328 0.2754  1 Fe 1.86
O: 0.8328 0.1672 0.7246  1 Fe 1.86
O: 0.8328 0.6657 0.7246  1 Fe 1.86

=====

Ba4SrFe5O15 | PBE with a Hubbard U | relaxed

## Properties
The value obtained for the density of states at the Fermi level is 16.04 states/eV/cell. As for the symmetry: P4/mmm. The raw total energy is -6.33 eV/atom.

a b c (Å): 4.0114 4.0114 20.1013
angles (deg): 90.00 90.00 90.00
With the nearest neighbours (Å) after each atom.
Element x y z (fractional)
Ba: 0.0000 0.0000 0.1010  12 O 2.84-2.86
Ba: 0.0000 0.0000 0.3032  12 O 2.84-2.88
Ba: 0.0000 0.0000 0.6968  12 O 2.84-2.88
Ba: 0.0000 0.0000 0.8990  12 O 2.84-2.86
Sr: 0.0000 0.0000 0.5000  12 O 2.75-2.84
Fe: 0.5000 0.5000 0.0000  6 O 2.01-2.03
Fe: 0.5000 0.5000 0.2019  6 O 2.01-2.06
Fe: 0.5000 0.5000 0.4030  6 O 1.95-2.01
Fe: 0.5000 0.5000 0.5970  6 O 1.95-2.01
Fe: 0.5000 0.5000 0.7981  6 O 2.01-2.06
O: 0.0000 0.5000 0.0000  2 Fe 2.01
O: 0.0000 0.5000 0.2025  2 Fe 2.01
O: 0.0000 0.5000 0.4060  2 Fe 2.01
O: 0.0000 0.5000 0.5940  2 Fe 2.01
O: 0.0000 0.5000 0.7975  2 Fe 2.01
O: 0.5000 0.0000 0.0000  2 Fe 2.01
O: 0.5000 0.0000 0.2025  2 Fe 2.01
O: 0.5000 0.0000 0.4060  2 Fe 2.01
O: 0.5000 0.0000 0.5940  2 Fe 2.01
O: 0.5000 0.0000 0.7975  2 Fe 2.01
O: 0.5000 0.5000 0.1008  2 Fe 2.03
O: 0.5000 0.5000 0.3044  2 Fe 1.98-2.06
O: 0.5000 0.5000 0.5000  2 Fe 1.95
O: 0.5000 0.5000 0.6956  2 Fe 1.98-2.06
O: 0.5000 0.5000 0.8992  2 Fe 2.03

=====

BaSr4Fe5O10 | PBE with a Hubbard U | relaxed

## Properties
The value obtained for the density of states at the Fermi level is 0.66 states/eV/cell. As for the symmetry: P4/mmm. The raw total energy is -6.17 eV/atom.

a b c (Å): 4.0402 4.0402 17.7718
angles (deg): 90.00 90.00 90.00
With the nearest neighbours (Å) after each atom.
Element x y z (fractional)
Ba: 0.0000 0.0000 0.0000  8 O 2.82
Sr: 0.0000 0.0000 0.2087  8 O 2.64-2.67
Sr: 0.0000 0.0000 0.4009  8 O 2.65-2.68
Sr: 0.0000 0.0000 0.5991  8 O 2.65-2.68
Sr: 0.0000 0.0000 0.7913  8 O 2.64-2.67
Fe: 0.5000 0.5000 0.1129  4 O 2.02
Fe: 0.5000 0.5000 0.3027  4 O 2.02
Fe: 0.5000 0.5000 0.5000  4 O 2.02
Fe: 0.5000 0.5000 0.6973  4 O 2.02
Fe: 0.5000 0.5000 0.8871  4 O 2.02
O: 0.0000 0.5000 0.1107  2 Fe 2.02
O: 0.0000 0.5000 0.3047  2 Fe 2.02
O: 0.0000 0.5000 0.5000  2 Fe 2.02
O: 0.0000 0.5000 0.6953  2 Fe 2.02
O: 0.0000 0.5000 0.8893  2 Fe 2.02
O: 0.5000 0.0000 0.1107  2 Fe 2.02
O: 0.5000 0.0000 0.3047  2 Fe 2.02
O: 0.5000 0.0000 0.5000  2 Fe 2.02
O: 0.5000 0.0000 0.6953  2 Fe 2.02
O: 0.5000 0.0000 0.8893  2 Fe 2.02

=====

Ba4Sr3FeO8 | PBE with a Hubbard U | relaxed

## Properties
The value obtained for the density of states at the Fermi level is 0.00 states/eV/cell. As for the symmetry: C2/m. The raw total energy is -5.94 eV/atom.

a b c (Å): 7.5849 7.5849 7.4727
angles (deg): 119.33 119.33 58.59
With the nearest neighbours (Å) after each atom.
Element x y z (fractional)
Ba: 0.0000 0.0000 0.0000  6 O 2.60-2.90
Ba: 0.0000 0.5000 0.5000  6 O 2.70-2.80
Ba: 0.5000 0.0000 0.5000  6 O 2.70-2.80
Ba: 0.5000 0.5000 0.0000  6 O 2.72-2.79
Sr: 0.0000 0.0000 0.5000  6 O 2.58-2.69
Sr: 0.0000 0.5000 0.0000  6 O 2.57-2.70
Sr: 0.5000 0.0000 0.0000  6 O 2.57-2.70
Fe: 0.5000 0.5000 0.5000  4 O 2.37
O: 0.2373 0.2373 0.2242  2 Sr 2.57, 3 Ba 2.60-2.71
O: 0.2453 0.2453 0.7575  3 Sr 2.57-2.69, 3 Ba 2.70-2.79
O: 0.2643 0.7263 0.2770  1 Fe 2.37, 1 Sr 2.58
O: 0.2737 0.7357 0.7230  1 Fe 2.37, 1 Sr 2.58
O: 0.7263 0.2643 0.2770  1 Fe 2.37, 1 Sr 2.58
O: 0.7357 0.2737 0.7230  1 Fe 2.37, 1 Sr 2.58
O: 0.7547 0.7547 0.2425  3 Sr 2.57-2.69, 3 Ba 2.70-2.79
O: 0.7627 0.7627 0.7758  2 Sr 2.57, 3 Ba 2.60-2.71

=====

Ba4SrFe3O12 | PBE with a Hubbard U | relaxed

## Properties
The value obtained for the density of states at the Fermi level is 10.71 states/eV/cell. As for the symmetry: Im-3m. The raw total energy is -6.16 eV/atom.

a b c (Å): 7.2101 7.2101 7.2101
angles (deg): 109.47 109.47 109.47
With the nearest neighbours (Å) after each atom.
Element x y z (fractional)
Ba: 0.0000 0.0000 0.5000  12 O 2.94-2.96
Ba: 0.0000 0.5000 0.0000  12 O 2.94-2.96
Ba: 0.5000 0.0000 0.0000  12 O 2.94-2.96
Ba: 0.5000 0.5000 0.5000  12 O 2.94-2.96
Sr: 0.0000 0.0000 0.0000  6 O 2.34
Fe: 0.0000 0.5000 0.5000  2 O 1.82
Fe: 0.5000 0.0000 0.5000  2 O 1.82
Fe: 0.5000 0.5000 0.0000  2 O 1.82
O: 0.0000 0.2814 0.2814  1 Fe 1.82
O: 0.0000 0.7186 0.7186  1 Fe 1.82
O: 0.2500 0.5000 0.7500  2 Fe 2.08
O: 0.2500 0.7500 0.5000  2 Fe 2.08
O: 0.2814 0.0000 0.2814  1 Fe 1.82
O: 0.2814 0.2814 0.0000  1 Fe 1.82
O: 0.5000 0.2500 0.7500  2 Fe 2.08
O: 0.5000 0.7500 0.2500  2 Fe 2.08
O: 0.7186 0.0000 0.7186  1 Fe 1.82
O: 0.7186 0.7186 0.0000  1 Fe 1.82
O: 0.7500 0.2500 0.5000  2 Fe 2.08
O: 0.7500 0.5000 0.2500  2 Fe 2.08

=====

BaSr4Fe5O10 | PBE with a Hubbard U | relaxed

## Properties
The value obtained for the density of states at the Fermi level is 0.73 states/eV/cell. As for the symmetry: P2/m. The raw total energy is -6.34 eV/atom.

a b c (Å): 5.4335 4.0773 13.4246
angles (deg): 90.00 93.71 90.00
With the nearest neighbours (Å) after each atom.
Element x y z (fractional)
Ba: 0.0000 0.0000 0.0000  8 O 2.72-2.84
Sr: 0.1984 0.0000 0.4026  8 O 2.64-2.72
Sr: 0.4095 0.0000 0.7954  8 O 2.63-2.76
Sr: 0.5905 0.0000 0.2046  8 O 2.63-2.76
Sr: 0.8016 0.0000 0.5974  8 O 2.64-2.72
Fe: 0.0874 0.5000 0.2079  4 O 2.04-2.06
Fe: 0.3023 0.5000 0.5986  4 O 2.04
Fe: 0.5000 0.5000 0.0000  4 O 2.04-2.05
Fe: 0.6977 0.5000 0.4014  4 O 2.04
Fe: 0.9126 0.5000 0.7921  4 O 2.04-2.06
O: 0.0000 0.5000 0.5000  2 Fe 2.04
O: 0.0929 0.0000 0.2079  2 Fe 2.04
O: 0.2219 0.5000 0.8890  2 Fe 2.05-2.06
O: 0.3016 0.0000 0.5992  2 Fe 2.04
O: 0.3919 0.5000 0.3050  2 Fe 2.04
O: 0.5000 0.0000 0.0000  2 Fe 2.04
O: 0.6081 0.5000 0.6950  2 Fe 2.04
O: 0.6984 0.0000 0.4008  2 Fe 2.04
O: 0.7781 0.5000 0.1110  2 Fe 2.05-2.06
O: 0.9071 0.0000 0.7921  2 Fe 2.04

=====

BaSr2FeO5 | PBE with a Hubbard U | relaxed

## Properties
The value obtained for the density of states at the Fermi level is 2.73 states/eV/cell. As for the symmetry: Immm. The raw total energy is -6.21 eV/atom.

a b c (Å): 6.9359 6.9359 6.9359
angles (deg): 147.45 128.65 62.12
With the nearest neighbours (Å) after each atom.
Element x y z (fractional)
Ba: 0.0000 0.0000 0.0000  10 O 2.93-3.00
Sr: 0.2893 0.7893 0.5000  7 O 2.50-2.60
Sr: 0.7107 0.2107 0.5000  7 O 2.50-2.60
Fe: 0.5000 0.5000 0.0000  6 O 1.94-2.05
O: 0.1413 0.3746 0.7667  1 Fe 2.05
O: 0.3921 0.6254 0.7667  1 Fe 2.05
O: 0.5000 0.0000 0.5000  2 Fe 1.94
O: 0.6079 0.3746 0.2333  1 Fe 2.05
O: 0.8587 0.6254 0.2333  1 Fe 2.05

=====

Question: The lowest raw total energy belongs to which entry?
Answer: number 7

=====

Question: Which value of raw total energy does entry 3 give?
Answer: -6.33 eV/atom